(1)
K4TcNi: relaxed, GGA-PBE. Values from VASP.

Structure (Quantum ESPRESSO input):
```
&SYSTEM
  ibrav = 0, nat = 6, ntyp = 3
/
ATOMIC_SPECIES
K 39.10 K.upf
Tc 98.00 Tc.upf
Ni 58.69 Ni.upf
CELL_PARAMETERS angstrom
0.000 4.885 4.885
4.885 0.000 4.885
4.885 4.885 0.000
ATOMIC_POSITIONS crystal
K 0.874 0.375 0.375
K 0.375 0.874 0.375
K 0.375 0.375 0.874
K 0.375 0.375 0.375
Tc 0.000 0.000 0.000
Ni 0.750 0.750 0.750
```

Results
- crystal system = cubic
- ΔH_f (0 K) (eV per atom) = 1.450
- total moment (μB per formula unit) = 4.6
- uncorrected energy (eV/atom) = -1.9733
- V (Å³ per cell) = 233

(2)
CsK4Cu3F12: relaxed, GGA-PBE. Values from VASP.

Structure (Quantum ESPRESSO input):
```
&SYSTEM
  ibrav = 0, nat = 20, ntyp = 4
/
ATOMIC_SPECIES
F 19.00 F.upf
Cu 63.55 Cu.upf
Cs 132.91 Cs.upf
K 39.10 K.upf
CELL_PARAMETERS angstrom
7.835 0.000 0.000
-2.612 7.387 0.000
-2.612 -3.694 6.398
ATOMIC_POSITIONS crystal
F 0.142 0.791 0.649
F 0.351 0.142 0.492
F 0.508 0.649 0.858
F 0.858 0.209 0.351
F 0.142 0.492 0.351
F 0.858 0.508 0.649
F 0.351 0.858 0.209
F 0.649 0.142 0.791
F 0.209 0.351 0.858
F 0.791 0.649 0.142
F 0.649 0.858 0.508
F 0.492 0.351 0.142
Cu 0.000 0.500 0.500
Cu 0.500 0.500 0.000
Cu 0.500 0.000 0.500
Cs 0.000 0.000 0.000
K 0.000 0.500 0.000
K 0.500 0.000 0.000
K 0.000 0.000 0.500
K 0.500 0.500 0.500
```

Results
- crystal system = cubic
- formation energy (no corrections) (eV per atom) = -2.178
- total moment (μB per formula unit) = 2.0
- uncorrected energy (eV/atom) = -4.1777
- V (Å³ per cell) = 370

(3)
BaZnSi2: relaxed, GGA-PBE. Values from VASP.

Structure (Quantum ESPRESSO input):
```
&SYSTEM
  ibrav = 0, nat = 4, ntyp = 3
/
ATOMIC_SPECIES
Si 28.09 Si.upf
Ba 137.33 Ba.upf
Zn 65.41 Zn.upf
CELL_PARAMETERS angstrom
4.614 0.041 -0.002
2.940 3.556 -0.002
1.598 0.761 5.980
ATOMIC_POSITIONS crystal
Si 0.512 0.512 0.372
Si 0.988 0.988 0.128
Ba 0.750 0.750 0.750
Zn 0.250 0.250 0.250
```

Results
- crystal system = monoclinic
- formation energy (no corrections) (eV per atom) = -0.167
- total moment (μB per formula unit) = 0.0
- uncorrected energy (eV/atom) = -3.6773
- V (Å³ per cell) = 97

(4)
Al2MoAuN: relaxed, GGA-PBE. Values from VASP.

Structure (Quantum ESPRESSO input):
```
&SYSTEM
  ibrav = 0, nat = 5, ntyp = 4
/
ATOMIC_SPECIES
Mo 95.94 Mo.upf
Al 26.98 Al.upf
N 14.01 N.upf
Au 196.97 Au.upf
CELL_PARAMETERS angstrom
-4.127 -1.286 1.759
2.461 -1.557 4.637
-0.589 4.286 1.752
ATOMIC_POSITIONS crystal
Mo 0.000 0.500 0.000
Al 0.000 0.000 0.500
Al 0.500 0.000 0.000
N 0.500 0.500 0.500
Au 0.000 0.000 0.000
```

Results
- crystal system = tetragonal
- formation energy (no corrections) (eV per atom) = 1.734
- total moment (μB per formula unit) = 2.3
- uncorrected energy (eV/atom) = -4.2499
- V (Å³ per cell) = 119

(5)
CaZnIn2: relaxed, GGA-PBE. Values from VASP.

Structure (Quantum ESPRESSO input):
```
&SYSTEM
  ibrav = 0, nat = 4, ntyp = 3
/
ATOMIC_SPECIES
Zn 65.41 Zn.upf
In 114.82 In.upf
Ca 40.08 Ca.upf
CELL_PARAMETERS angstrom
-1.808 -0.958 3.043
1.731 -3.233 0.008
5.427 2.916 4.143
ATOMIC_POSITIONS crystal
Zn 0.000 0.000 0.473
In 0.000 0.000 0.022
In 0.500 0.500 0.275
Ca 0.500 0.500 0.730
```

Results
- crystal system = tetragonal
- ΔH_f (0 K) (eV per atom) = -0.177
- total moment (μB per formula unit) = 0.0
- uncorrected energy (eV/atom) = -2.3648
- V (Å³ per cell) = 100

(6)
La3CeTh4S8: relaxed, GGA-PBE. Values from VASP.

Structure (Quantum ESPRESSO input):
```
&SYSTEM
  ibrav = 0, nat = 16, ntyp = 4
/
ATOMIC_SPECIES
La 138.91 La.upf
Ce 140.12 Ce.upf
S 32.06 S.upf
Th 232.04 Th.upf
CELL_PARAMETERS angstrom
-5.535 4.637 -3.708
-4.783 -6.579 -1.087
2.557 1.915 7.462
ATOMIC_POSITIONS crystal
La 0.000 0.500 0.500
La 0.500 0.500 0.500
La 0.500 0.500 0.000
Ce 0.000 0.500 0.000
S 0.249 0.753 0.499
S 0.246 0.247 0.996
S 0.751 0.247 0.996
S 0.248 0.244 0.496
S 0.752 0.756 0.504
S 0.249 0.753 0.004
S 0.751 0.247 0.501
S 0.754 0.753 0.004
Th 0.000 0.000 0.500
Th 0.500 0.000 0.000
Th 0.500 0.000 0.500
Th 0.000 0.000 0.000
```

Results
- crystal system = trigonal
- formation energy (no corrections) (eV per atom) = -1.986
- total moment (μB per formula unit) = 0.8
- uncorrected energy (eV/atom) = -7.1999
- V (Å³ per cell) = 384

(7)
Re2Mo4W: relaxed, GGA-PBE. Values from VASP.

Structure (Quantum ESPRESSO input):
```
&SYSTEM
  ibrav = 0, nat = 7, ntyp = 3
/
ATOMIC_SPECIES
Mo 95.94 Mo.upf
Re 186.21 Re.upf
W 183.84 W.upf
CELL_PARAMETERS angstrom
0.257 -2.504 -1.829
1.836 -1.375 2.141
-9.475 -3.387 5.952
ATOMIC_POSITIONS crystal
Mo 0.931 0.500 0.863
Mo 0.069 0.500 0.137
Mo 0.639 0.000 0.278
Mo 0.361 0.000 0.722
Re 0.796 0.500 0.592
Re 0.204 0.500 0.408
W 0.500 0.000 0.000
```

Results
- crystal system = orthorhombic
- ΔH_f (0 K) (eV per atom) = 0.221
- total moment (μB per formula unit) = 0.0
- uncorrected energy (eV/atom) = -11.3748
- V (Å³ per cell) = 113

(8)
Dy2Ag2Pd7: relaxed, GGA-PBE. Values from VASP.

Structure (Quantum ESPRESSO input):
```
&SYSTEM
  ibrav = 0, nat = 11, ntyp = 3
/
ATOMIC_SPECIES
Pd 106.42 Pd.upf
Dy 162.50 Dy.upf
Ag 107.87 Ag.upf
CELL_PARAMETERS angstrom
-4.757 -0.679 4.420
-2.935 -3.036 -3.624
3.274 -5.345 1.828
ATOMIC_POSITIONS crystal
Pd 0.000 0.745 0.500
Pd 0.000 0.255 0.500
Pd 0.500 0.260 0.500
Pd 0.000 0.000 0.000
Pd 0.500 0.745 0.000
Pd 0.500 0.740 0.500
Pd 0.500 0.255 0.000
Dy 0.787 0.500 0.787
Dy 0.213 0.500 0.213
Ag 0.268 0.999 0.732
Ag 0.732 0.001 0.268
```

Results
- crystal system = orthorhombic
- ΔH_f (0 K) (eV per atom) = -0.031
- total moment (μB per formula unit) = 0.0
- uncorrected energy (eV/atom) = -4.6905
- V (Å³ per cell) = 236

(9)
La3Tl2Rh4: relaxed, GGA-PBE. Values from VASP.

Structure (Quantum ESPRESSO input):
```
&SYSTEM
  ibrav = 0, nat = 18, ntyp = 3
/
ATOMIC_SPECIES
Rh 102.91 Rh.upf
La 138.91 La.upf
Tl 204.38 Tl.upf
CELL_PARAMETERS angstrom
-0.406 -4.146 3.726
4.494 -5.054 -5.817
8.665 1.284 1.689
ATOMIC_POSITIONS crystal
Rh 0.897 0.188 0.472
Rh 0.131 0.758 0.067
Rh 0.369 0.933 0.242
Rh 0.631 0.067 0.758
Rh 0.603 0.528 0.812
Rh 0.103 0.812 0.528
Rh 0.869 0.242 0.933
Rh 0.397 0.472 0.188
La 0.373 0.236 0.005
La 0.250 0.609 0.391
La 0.873 0.005 0.236
La 0.627 0.764 0.995
La 0.750 0.391 0.609
La 0.127 0.995 0.764
Tl 0.886 0.418 0.169
Tl 0.114 0.582 0.831
Tl 0.386 0.169 0.418
Tl 0.614 0.831 0.582
```

Results
- crystal system = monoclinic
- ΔH_f (0 K) (eV per atom) = -0.453
- total moment (μB per formula unit) = 0.0
- uncorrected energy (eV/atom) = -5.8890
- V (Å³ per cell) = 426

(10)
KRuF4: relaxed, GGA-PBE. Values from VASP.

Structure (Quantum ESPRESSO input):
```
&SYSTEM
  ibrav = 0, nat = 6, ntyp = 3
/
ATOMIC_SPECIES
K 39.10 K.upf
F 19.00 F.upf
Ru 101.07 Ru.upf
CELL_PARAMETERS angstrom
6.673 0.000 0.000
0.000 6.673 0.000
-3.336 -3.336 3.001
ATOMIC_POSITIONS crystal
K 0.750 0.250 0.500
F 0.296 0.703 0.000
F 0.703 0.704 0.000
F 0.297 0.296 0.000
F 0.704 0.297 0.000
Ru 0.500 0.500 0.000
```

Results
- crystal system = tetragonal
- formation energy (no corrections) (eV per atom) = -1.928
- total moment (μB per formula unit) = 3.0
- uncorrected energy (eV/atom) = -4.9042
- V (Å³ per cell) = 134

(11)
CrSiP2: relaxed, GGA-PBE. Values from VASP.

Structure (Quantum ESPRESSO input):
```
&SYSTEM
  ibrav = 0, nat = 4, ntyp = 3
/
ATOMIC_SPECIES
P 30.97 P.upf
Cr 52.00 Cr.upf
Si 28.09 Si.upf
CELL_PARAMETERS angstrom
-1.742 -1.998 -0.143
2.415 -0.939 -0.576
1.284 -1.705 8.165
ATOMIC_POSITIONS crystal
P 0.000 0.000 0.542
P 0.000 0.000 0.958
Cr 0.500 0.500 0.750
Si 0.500 0.500 0.250
```

Results
- crystal system = orthorhombic
- formation energy (no corrections) (eV per atom) = 0.338
- total moment (μB per formula unit) = 1.0
- uncorrected energy (eV/atom) = -6.1288
- V (Å³ per cell) = 56

(12)
Ti3CrRh: relaxed, GGA-PBE. Values from VASP.

Structure (Quantum ESPRESSO input):
```
&SYSTEM
  ibrav = 0, nat = 5, ntyp = 3
/
ATOMIC_SPECIES
Ti 47.87 Ti.upf
Rh 102.91 Rh.upf
Cr 52.00 Cr.upf
CELL_PARAMETERS angstrom
4.406 0.000 0.000
0.000 4.406 0.000
0.000 0.000 4.406
ATOMIC_POSITIONS crystal
Ti 0.000 0.000 0.500
Ti 0.000 0.500 0.000
Ti 0.500 0.000 0.000
Rh 0.500 0.500 0.500
Cr 0.000 0.000 0.000
```

Results
- crystal system = cubic
- ΔH_f (0 K) (eV per atom) = 0.489
- relative energy among the computed polymorphs (meV/atom) = 0.0
- total moment (μB per formula unit) = 0.0
- uncorrected energy (eV/atom) = -7.6425
- V (Å³ per cell) = 86